8
Lattice="3.3560 0.0000 0.0000 0.0000 4.7498 0.0000 0.0000 0.0000 8.6464" Properties=species:S:1:pos:R:3 comment="ScAsW2 | the Alexandria database | PBE | relaxed" crystal_system=orthorhombic ef_ev_per_fu=1.30 pbc="T T T"
Sc 0.0000 0.0000 0.0000
Sc 1.6780 2.3749 0.0000
As 0.0000 0.0000 4.3232
As 1.6780 2.3749 4.3232
W 0.0000 2.3749 2.3589
W 0.0000 2.3749 6.2875
W 1.6780 0.0000 2.3589
W 1.6780 0.0000 6.2875

16
Lattice="0.0000 7.0179 12.6149 2.9839 0.0000 12.6149 2.9839 7.0179 0.0000" Properties=species:S:1:pos:R:3 comment="Cs2LiAsS4 | the Alexandria database | PBE | relaxed" crystal_system=orthorhombic formation_energy_uncorrected_ev_per_atom=-0.882 pbc="T T T"
Cs 2.2379 5.2634 1.3394
Cs 3.7298 8.7723 7.6468
Cs 2.2379 5.2634 17.5830
Cs 3.7298 8.7723 23.8905
Li 0.7460 1.7545 3.1537
Li 5.2218 12.2812 22.0761
As 2.2379 5.2634 9.4612
As 3.7298 8.7723 15.7687
S 3.5342 3.9921 8.2292
S 3.5342 6.5346 10.6931
S 5.0261 7.5011 17.0006
S 5.0261 10.0436 14.5367
S 0.9416 3.9921 10.6931
S 0.9416 6.5346 8.2292
S 2.4336 7.5011 14.5367
S 2.4336 10.0436 17.0006

4
Lattice="3.7176 0.0000 0.0000 0.0000 3.8717 0.0000 -1.8457 0.0000 4.8850" Properties=species:S:1:pos:R:3 comment="LiYNi2 | the Alexandria database | PBE | relaxed" crystal_system=monoclinic ef_ev_per_fu=-0.53 pbc="T T T"
Li 0.0000 0.0000 0.0000
Y 0.0030 1.9359 2.8191
Ni 1.8649 1.9359 0.6759
Ni 1.8606 0.0000 1.9157

14
Lattice="7.1810 0.0000 0.0000 0.0000 7.5986 0.0000 -2.7809 0.0000 8.8196" Properties=species:S:1:pos:R:3 comment="RbNaZnBr4 | the Alexandria database | PBE | relaxed" crystal_system=monoclinic formation_energy_uncorrected_ev_per_atom=-1.338 pbc="T T T"
Rb 1.6071 1.8997 0.5289
Rb 2.7931 5.6990 8.2907
Na 0.0589 1.8997 4.8934
Na 4.3412 5.6990 3.9262
Zn 0.7227 5.6990 2.8631
Zn 3.6775 1.8997 5.9564
Br -1.9986 0.0087 6.3549
Br -1.9986 3.7906 6.3549
Br 2.5646 5.6990 1.2670
Br 1.6257 5.6990 5.0926
Br 2.7745 1.8997 3.7270
Br 1.8355 1.8997 7.5526
Br 6.3988 3.8081 2.4646
Br 6.3988 7.5899 2.4646

5
Lattice="4.9975 0.0000 0.0000 0.0000 4.9975 0.0000 0.0000 0.0000 4.6747" Properties=species:S:1:pos:R:3 comment="BaZn2SiTc | the Alexandria database | PBE | relaxed" crystal_system=tetragonal formation_energy_uncorrected_ev_per_atom=-0.190 pbc="T T T"
Ba 0.0000 0.0000 0.0000
Zn 0.0000 2.4988 2.3373
Zn 2.4988 0.0000 2.3373
Si 2.4988 2.4988 0.0000
Tc 2.4988 2.4988 2.3373

16
Lattice="3.8271 0.0000 0.0000 0.0000 3.8271 0.0000 0.0000 0.0000 19.8494" Properties=species:S:1:pos:R:3 comment="CdGaMo2 | the Alexandria database | PBE | relaxed" crystal_system=tetragonal ef_ev_per_fu=2.36 pbc="T T T"
Cd 0.0000 0.0000 0.0000
Cd 0.0000 1.9135 4.9624
Cd 1.9135 0.0000 14.8871
Cd 1.9135 1.9135 9.9247
Ga 0.0000 0.0000 9.9247
Ga 0.0000 1.9135 14.8871
Ga 1.9135 0.0000 4.9624
Ga 1.9135 1.9135 0.0000
Mo 0.8422 0.9568 12.4059
Mo 0.9568 2.7557 17.3682
Mo 0.9568 2.9849 7.4435
Mo 1.0714 0.9568 2.4812
Mo 2.7557 2.8703 2.4812
Mo 2.8703 0.8422 7.4435
Mo 2.8703 1.0714 17.3682
Mo 2.9849 2.8703 12.4059

16
Lattice="8.4380 0.0000 0.0000 0.0000 8.4380 0.0000 0.0000 0.0000 10.3034" Properties=species:S:1:pos:R:3 comment="Cs2TmBr5 | the Alexandria database | PBE | relaxed" crystal_system=tetragonal formation_energy_uncorrected_ev_per_atom=-1.836 pbc="T T T"
Cs 0.0000 4.2190 0.0000
Cs 0.0000 4.2190 5.1517
Cs 4.2190 0.0000 0.0000
Cs 4.2190 0.0000 5.1517
Tm 0.0000 0.0000 2.1724
Tm 4.2190 4.2190 7.3241
Br 0.0000 0.0000 9.8877
Br 1.8942 1.8942 2.7135
Br 1.8942 6.5437 2.7135
Br 2.3247 2.3247 7.8652
Br 2.3247 6.1132 7.8652
Br 4.2190 4.2190 4.7360
Br 6.1132 2.3247 7.8652
Br 6.1132 6.1132 7.8652
Br 6.5437 1.8942 2.7135
Br 6.5437 6.5437 2.7135

8
Lattice="9.1737 0.0000 0.0000 0.0000 2.7726 0.0000 -0.9952 0.0000 4.6416" Properties=species:S:1:pos:R:3 comment="MnOs2Au | the Alexandria database | PBE | relaxed" crystal_system=monoclinic ef_ev_per_fu=1.34 pbc="T T T"
Mn 0.0000 0.0000 0.0000
Mn 4.5869 1.3863 0.0000
Os 1.9299 1.3863 1.0605
Os 1.6618 0.0000 3.5811
Os 6.5167 0.0000 1.0605
Os 6.2486 1.3863 3.5811
Au -0.4976 1.3863 2.3208
Au 4.0893 0.0000 2.3208

5
Lattice="3.9163 0.0000 0.0000 0.0000 3.9163 0.0000 0.0000 0.0000 4.0363" Properties=species:S:1:pos:R:3 comment="MnFe2HgN | the Alexandria database | PBE | relaxed" crystal_system=tetragonal formation_energy_uncorrected_ev_per_atom=0.025 pbc="T T T"
Mn 0.0000 0.0000 0.0000
Fe 0.0000 1.9581 2.0181
Fe 1.9581 0.0000 2.0181
Hg 1.9581 1.9581 0.0000
N 0.0000 0.0000 2.0181

14
Lattice="0.0000 6.9161 4.3594 6.0812 0.0000 4.3594 6.0812 6.9161 0.0000" Properties=species:S:1:pos:R:3 comment="Th4AgOs2 | the Alexandria database | PBE | relaxed" crystal_system=orthorhombic ef_ev_per_fu=-1.58 pbc="T T T"
Th 1.5146 0.9463 1.3592
Th 4.5666 5.9698 1.3592
Th 4.5552 2.5117 3.5390
Th 6.6414 5.1982 4.3594
Th 1.5260 4.4044 3.5390
Th 5.5210 8.6339 4.3594
Th 8.5616 8.6563 6.5391
Th 9.6820 12.0919 6.5391
Ag 3.0406 3.4580 0.6721
Ag 6.0812 6.9161 7.2113
Os 8.4287 7.5195 3.9805
Os 11.4693 9.7707 6.1603
Os 3.7337 6.3127 3.9805
Os 6.7743 10.9775 6.1603

10
Lattice="-5.4402 5.4402 3.0131 5.4402 -5.4402 3.0131 5.4402 5.4402 -3.0131" Properties=species:S:1:pos:R:3 comment="Pr4Nd5Cd | the Alexandria database | PBE | relaxed" crystal_system=tetragonal ef_ev_per_fu=0.99 pbc="T T T"
Pr 3.4388 0.0000 0.0000
Pr 7.4416 0.0000 0.0000
Pr 0.0000 3.4388 0.0000
Pr 0.0000 7.4416 0.0000
Nd 0.0000 0.0000 1.1317
Nd 3.4295 3.4295 -0.0813
Nd 2.0108 -2.0108 2.9318
Nd -2.0108 2.0108 2.9318
Nd 2.0108 2.0108 2.9318
Cd 0.0000 0.0000 4.2902

7
Lattice="4.3324 0.0000 0.0000 0.0000 4.3324 0.0000 0.0000 0.0000 6.9506" Properties=species:S:1:pos:R:3 comment="PaAl5Os | the Alexandria database | PBE | relaxed" crystal_system=tetragonal ef_ev_per_fu=-2.81 pbc="T T T"
Pa 0.0000 0.0000 0.0000
Al 0.0000 2.1662 2.1382
Al 0.0000 2.1662 4.8124
Al 2.1662 0.0000 2.1382
Al 2.1662 0.0000 4.8124
Al 2.1662 2.1662 0.0000
Os 0.0000 0.0000 3.4753

6
Lattice="2.7483 0.0000 0.0000 0.0000 3.7256 0.0000 0.0000 0.0000 12.0694" Properties=species:S:1:pos:R:3 comment="Si2Se | the Alexandria database | PBE | relaxed" crystal_system=orthorhombic formation_energy_uncorrected_ev_per_atom=0.331 pbc="T T T"
Si 0.0000 0.0000 2.5081
Si 0.0000 0.0000 9.5613
Si 1.3742 1.8628 3.5266
Si 1.3742 1.8628 8.5427
Se 0.0000 0.0000 0.0000
Se 1.3742 1.8628 6.0347

9
Lattice="5.8856 -2.6202 0.0000 5.8856 2.6202 0.0000 -4.9411 0.0000 8.9430" Properties=species:S:1:pos:R:3 comment="SrCd2Pb6 | the Alexandria database | PBE | relaxed" crystal_system=monoclinic ef_ev_per_fu=-0.88 pbc="T T T"
Sr 0.0000 0.0000 0.0000
Cd 0.1502 0.0000 6.8013
Cd 6.6798 0.0000 2.1417
Pb -1.6848 0.0000 3.0675
Pb 1.7023 0.0000 3.8201
Pb 3.5230 0.0000 0.8608
Pb 3.3070 0.0000 8.0822
Pb 5.1277 0.0000 5.1229
Pb 8.5149 0.0000 5.8755

10
Lattice="-3.3512 3.3512 5.3881 3.3512 -3.3512 5.3881 3.3512 3.3512 -5.3881" Properties=species:S:1:pos:R:3 comment="Rb2BeReCl6 | the Alexandria database | PBE | relaxed" crystal_system=tetragonal formation_energy_uncorrected_ev_per_atom=-0.891 pbc="T T T"
Rb 3.3512 0.0000 2.6941
Rb 0.0000 3.3512 2.6941
Be 0.0000 0.0000 0.0000
Re 0.0000 0.0000 5.3881
Cl 1.5693 1.5693 0.0000
Cl 1.7819 -1.7819 5.3881
Cl 0.0000 0.0000 2.9530
Cl 0.0000 0.0000 7.8233
Cl -1.7819 1.7819 5.3881
Cl 1.7819 1.7819 5.3881

12
Lattice="7.3849 -2.8653 0.0000 7.3849 2.8653 0.0000 -5.1869 0.0000 8.2902" Properties=species:S:1:pos:R:3 comment="Tb7SmCd4 | the Alexandria database | PBE | relaxed" crystal_system=monoclinic ef_ev_per_fu=-0.02 pbc="T T T"
Tb 0.0000 0.0000 0.0000
Tb -0.0934 0.0000 5.7415
Tb 3.7331 0.0000 0.9938
Tb 3.2895 0.0000 4.8689
Tb 6.2933 0.0000 3.4213
Tb 5.8497 0.0000 7.2964
Tb 9.6762 0.0000 2.5487
Sm 7.3849 0.0000 0.0000
Cd -3.0828 0.0000 5.9053
Cd 0.9141 0.0000 2.8299
Cd 8.6687 0.0000 5.4603
Cd 12.6656 0.0000 2.3849

Results for E_tot: -71.18; -63.67; -20.47; -39.23; -21.21; -92.98; -58.47; -67.13; -34.60; -113.15; -42.88; -42.25; -26.67; -26.64; -38.10; -40.81 (in eV for the cell shown, following the order of the records).